TbPm2Dy3Er6 | PBE | optimized geometry

Values from the calculation:
- density of states at the Fermi level (states/eV/f.u.) = 15.5
- magnetization (μB per formula unit) = 0.0
- DFT formation energy (eV/atom) = 0.02
- uncorrected energy (eV per atom) = -4.59

Unit cell a=6.1418 b=10.6288 c=11.7098 alpha=90.00 beta=100.03 gamma=90.00
Closest atoms and distances in Å follow each position.
Space group C2/m (No. 12)
One atom of each set of equivalent atoms:
Tb1 0.0000 0.0000 0.0000 x2  6 Pm 3.54-3.55, 6 Er 3.55
Pm1 0.0000 0.3333 0.0000 x4  3 Pm 3.54-3.55, 3 Tb 3.54-3.55, 6 Er 3.55-3.56
Dy1 0.0000 0.1666 0.5000 x4  6 Er 3.51-3.52, 6 Dy 3.54-3.55
Dy2 0.0000 0.5000 0.5000 x2  6 Er 3.52, 6 Dy 3.54
Er1 0.2482 0.0000 0.7480 x4  3 Dy 3.51-3.52, 6 Er 3.54-3.55, 1 Tb 3.55, 2 Pm 3.56
Er2 0.2488 0.3335 0.7481 x8  3 Dy 3.52, 6 Er 3.54-3.55, 2 Pm 3.55-3.56, 1 Tb 3.55

Tb2PmDyEr5 | PBE | optimized geometry

Values from the calculation:
- density of states at the Fermi level (states/eV/f.u.) = 10.8
- magnetization (μB per formula unit) = 0.0
- DFT formation energy (eV/atom) = 0.29
- uncorrected energy (eV per atom) = -4.32

Unit cell a=8.8106 b=8.8106 c=14.8000 alpha=90.00 beta=90.00 gamma=90.00
Closest atoms and distances in Å follow each position.
Space group I4/mcm (No. 140)
One atom of each set of equivalent atoms:
Tb1 0.1140 0.3860 0.0000 x8  1 Tb 2.84, 2 Er 2.99
Pm1 0.0000 0.0000 0.2500 x4  10 Er 3.60-3.70
Dy1 0.0000 0.5000 0.2500 x4  4 Er 3.09
Er1 0.0000 0.0000 0.0000 x4  4 Tb 3.55, 2 Pm 3.70, 8 Er 3.73
Er2 0.2063 0.2937 0.3662 x16  1 Tb 2.99, 1 Dy 3.09

TbPmDy2Er4 | PBE | optimized geometry

Values from the calculation:
- density of states at the Fermi level (states/eV/f.u.) = 16.8
- magnetization (μB per formula unit) = 3.5
- DFT formation energy (eV/atom) = 0.44
- uncorrected energy (eV per atom) = -4.16

Unit cell a=13.5212 b=13.2341 c=6.7665 alpha=90.00 beta=120.03 gamma=90.00
Closest atoms and distances in Å follow each position.
Space group C2/c (No. 15)
One atom of each set of equivalent atoms:
Tb1 0.0000 0.0000 0.0000 x4  6 Er 3.31-3.39, 2 Tb 3.38
Pm1 0.2500 0.2500 0.0000 x4  6 Er 3.32-3.39, 2 Dy 3.38
Dy1 0.0000 0.5000 0.0000 x4  6 Er 3.30-3.38, 2 Dy 3.38
Dy2 0.2500 0.2500 0.5000 x4  6 Er 3.29-3.38, 2 Pm 3.38
Er1 0.9999 0.2504 0.0010 x8  3 Dy 3.30-3.38, 1 Tb 3.31, 2 Er 3.37-3.40, 2 Pm 3.38-3.39
Er2 0.2494 0.4988 0.4984 x8  3 Dy 3.29-3.38, 1 Pm 3.32, 2 Tb 3.38-3.39, 2 Er 3.38

TbPm2Dy6Er | PBE | optimized geometry

Values from the calculation:
- density of states at the Fermi level (states/eV/f.u.) = 13.6
- magnetization (μB per formula unit) = 0.0
- DFT formation energy (eV/atom) = 0.12
- uncorrected energy (eV per atom) = -4.51

Unit cell a=9.0162 b=15.0385 c=9.6602 alpha=90.00 beta=98.72 gamma=90.00
Closest atoms and distances in Å follow each position.
Space group C2/c (No. 15)
One atom of each set of equivalent atoms:
Tb1 0.0000 0.0192 0.2500 x4  4 Pm 3.36-3.38, 4 Dy 3.58-3.65
Pm1 0.2466 0.0516 0.5426 x8  5 Dy 3.25-3.51, 2 Tb 3.36-3.38, 1 Er 3.54
Dy1 0.0647 0.1893 0.9432 x8  7 Dy 3.40-3.74, 1 Pm 3.51, 1 Tb 3.65, 1 Er 3.77
Dy2 0.1022 0.3944 0.1197 x8  4 Dy 3.23-3.52, 3 Pm 3.25-3.44, 2 Er 3.42-3.56
Dy3 0.2030 0.2232 0.3132 x8  2 Dy 3.23-3.56, 1 Pm 3.38, 1 Er 3.45, 1 Tb 3.58
Er1 0.0000 0.4074 0.7500 x4  8 Dy 3.42-3.77, 2 Pm 3.54